1.
Below is a geometry-optimized SmFe2SnSb structure, with properties calculated at the PBE level.

Cell: 4.2477 4.2477 11.1380 Å, 90.00 90.00 90.00°
Element x y z (fractional)
Sm1 0.2500 0.2500 0.2442
Sm2 0.7500 0.7500 0.7558
Fe1 0.2500 0.2500 0.8627
Fe2 0.2500 0.7500 0.5000
Fe3 0.7500 0.2500 0.5000
Fe4 0.7500 0.7500 0.1373
Sn1 0.2500 0.7500 0.0000
Sn2 0.7500 0.2500 0.0000
Sb1 0.2500 0.2500 0.6395
Sb2 0.7500 0.7500 0.3605

## Properties
VASP energy: -6.1003 eV/atom
Space group: P4/nmm, No. 129



2.
Below is a geometry-optimized FeSnSb2 structure, with properties calculated at the PBE level.

Cell: 4.9860 4.9860 4.9860 Å, 60.00 60.00 60.00°
Element x y z (fractional)
Fe1 0.0000 0.0000 0.0000
Sn1 0.7500 0.7500 0.7500
Sb1 0.2500 0.2500 0.2500
Sb2 0.5000 0.5000 0.5000

## Properties
VASP energy: -4.5793 eV/atom
Space group: F-43m, No. 216